Entry 1:
The following is a DFT calculation (PBE) of crystalline La5Ho3Te8 at its relaxed geometry. Values from VASP.

Properties
raw formation energy: -23.4 eV/f.u.

Cell and atoms, written as Quantum ESPRESSO input:
```
&SYSTEM
  ibrav = 0, nat = 16, ntyp = 3
/
ATOMIC_SPECIES
Te 127.60 Te.upf
La 138.91 La.upf
Ho 164.93 Ho.upf
CELL_PARAMETERS angstrom
7.768 0.000 4.450
2.610 7.317 4.450
-0.004 -0.003 9.013
ATOMIC_POSITIONS crystal
Te 0.756 0.756 0.731
Te 0.750 0.750 0.263
La 0.500 0.500 0.000
La 0.000 0.500 0.000
La 0.000 0.000 0.000
Ho 0.500 0.000 0.500
Te 0.244 0.244 0.269
Te 0.237 0.750 0.263
La 0.500 0.500 0.500
Te 0.250 0.763 0.737
La 0.500 0.000 0.000
Ho 0.000 0.500 0.500
Te 0.250 0.250 0.737
Te 0.750 0.237 0.263
Te 0.763 0.250 0.737
Ho 0.000 0.000 0.500
```

Entry 2:
The following is a DFT calculation (PBE) of crystalline Sr2NiIN at its relaxed geometry. Values from VASP.

Properties
raw formation energy: -3.5 eV/f.u.
energy above the most stable polymorph in this dataset: 0.0 meV/atom

Cell and atoms, written as Quantum ESPRESSO input:
```
&SYSTEM
  ibrav = 0, nat = 5, ntyp = 4
/
ATOMIC_SPECIES
Sr 87.62 Sr.upf
N 14.01 N.upf
Ni 58.69 Ni.upf
I 126.90 I.upf
CELL_PARAMETERS angstrom
5.564 0.000 0.000
0.000 5.564 0.000
0.000 0.000 3.724
ATOMIC_POSITIONS crystal
Sr 0.500 0.000 0.000
N 0.000 0.000 0.000
Sr 0.000 0.500 0.000
Ni 0.000 0.000 0.500
I 0.500 0.500 0.500
```

Entry 3:
The following is a DFT calculation (PBE) of crystalline Ba4HSe2 at its relaxed geometry. Values from VASP.

Properties
DFT total energy: -24.70 eV per cell

Cell and atoms, written as Quantum ESPRESSO input:
```
&SYSTEM
  ibrav = 0, nat = 7, ntyp = 3
/
ATOMIC_SPECIES
Ba 137.33 Ba.upf
Se 78.96 Se.upf
H 1.01 H.upf
CELL_PARAMETERS angstrom
-4.788 -0.500 1.393
-0.106 -4.589 -2.011
0.516 -6.461 8.473
ATOMIC_POSITIONS crystal
Ba 0.679 0.679 0.642
Ba 0.000 0.500 0.000
Se 0.158 0.158 0.684
H 0.000 0.000 0.000
Ba 0.500 0.000 0.000
Se 0.842 0.842 0.316
Ba 0.321 0.321 0.358
```

Entry 4:
The following is a DFT calculation (PBE) of crystalline Hf2GeSb at its relaxed geometry. Values from VASP.

Properties
raw formation energy: -2.0 eV/f.u.
energy above the most stable polymorph in this dataset: 15.9 meV/atom

Cell and atoms, written as Quantum ESPRESSO input:
```
&SYSTEM
  ibrav = 0, nat = 4, ntyp = 3
/
ATOMIC_SPECIES
Sb 121.76 Sb.upf
Hf 178.49 Hf.upf
Ge 72.64 Ge.upf
CELL_PARAMETERS angstrom
3.936 0.000 0.000
1.968 3.409 0.000
1.968 1.136 6.643
ATOMIC_POSITIONS crystal
Sb 0.500 0.500 0.500
Hf 0.740 0.740 0.781
Hf 0.260 0.260 0.219
Ge 0.000 0.000 0.000
```